# 1
The following is a PBE calculation of Hf3BP after structural relaxation, from the Open Quantum Materials Database.

```
data_Hf3BP
_chemical_formula_sum 'Hf12 B4 P4'
_cell_length_a 3.516
_cell_length_b 10.784
_cell_length_c 8.830
_cell_angle_alpha 90.00
_cell_angle_beta 90.00
_cell_angle_gamma 90.00
_space_group_name_H-M_alt 'C m c m'
_space_group_IT_number 63
_space_group_name_Hall '-C 2c 2'
loop_
_atom_site_label
_atom_site_type_symbol
_atom_site_fract_x
_atom_site_fract_y
_atom_site_fract_z
_atom_site_occupancy
Hf1 Hf 0.000 0.064 0.250 1
Hf2 Hf 0.000 0.363 0.058 1
B1 B 0.000 0.000 0.000 1
P1 P 0.000 0.250 0.750 1
```

Properties
final energy	-9.2541	eV per atom


# 2
The following is a PBE calculation of Hf3B2P after structural relaxation, from the Open Quantum Materials Database.

```
data_Hf3B2P
_chemical_formula_sum 'Hf6 B4 P2'
_cell_length_a 3.4542
_cell_length_b 3.4542
_cell_length_c 17.9563
_cell_angle_alpha 90.00
_cell_angle_beta 90.00
_cell_angle_gamma 120.00
_space_group_name_H-M_alt 'P 63/m m c'
_space_group_IT_number 194
_space_group_name_Hall '-P 6c 2c'
loop_
_atom_site_label
_atom_site_type_symbol
_atom_site_fract_x
_atom_site_fract_y
_atom_site_fract_z
_atom_site_occupancy
Hf1 Hf 0.0000 0.0000 0.0000 1
Hf2 Hf 0.3333 0.6667 0.1528 1
B1 B 0.3333 0.6667 0.5794 1
P1 P 0.0000 0.0000 0.2500 1
```

Properties
final energy	-8.8883	eV per atom


# 3
The following is a PBE calculation of HfB4Pb after structural relaxation, from the Open Quantum Materials Database.

```
data_HfB4Pb
_chemical_formula_sum 'Hf2 B8 Pb2'
_cell_length_a 3.141
_cell_length_b 5.407
_cell_length_c 8.088
_cell_angle_alpha 90.00
_cell_angle_beta 90.00
_cell_angle_gamma 90.00
_space_group_name_H-M_alt 'I m m m'
_space_group_IT_number 71
_space_group_name_Hall '-I 2 2'
loop_
_atom_site_label
_atom_site_type_symbol
_atom_site_fract_x
_atom_site_fract_y
_atom_site_fract_z
_atom_site_occupancy
Hf1 Hf 0.000 0.000 0.000 1
B1 B 0.000 0.333 0.255 1
Pb1 Pb 0.000 0.000 0.500 1
```

Properties
energy above the most stable polymorph in this dataset	1.82	eV/f.u.


# 4
The following is a PBE calculation of HfBPb after structural relaxation, from the Open Quantum Materials Database.

```
data_HfBPb
_chemical_formula_sum 'Hf4 B4 Pb4'
_cell_length_a 6.109
_cell_length_b 6.109
_cell_length_c 6.109
_cell_angle_alpha 90.00
_cell_angle_beta 90.00
_cell_angle_gamma 90.00
_space_group_name_H-M_alt 'F -4 3 m'
_space_group_IT_number 216
_space_group_name_Hall 'F -4 2 3'
loop_
_atom_site_label
_atom_site_type_symbol
_atom_site_fract_x
_atom_site_fract_y
_atom_site_fract_z
_atom_site_occupancy
Hf1 Hf 0.000 0.000 0.000 1
B1 B 0.250 0.250 0.250 1
Pb1 Pb 0.000 0.000 0.500 1
```

Properties
energy above the most stable polymorph in this dataset	0.00	eV/f.u.


# 5
The following is a PBE calculation of Hf4B3Pb after structural relaxation, from the Open Quantum Materials Database.

```
data_Hf4B3Pb
_chemical_formula_sum 'Hf8 B6 Pb2'
_cell_length_a 3.4350
_cell_length_b 3.4350
_cell_length_c 26.3286
_cell_angle_alpha 90.00
_cell_angle_beta 90.00
_cell_angle_gamma 120.00
_space_group_name_H-M_alt 'P 63/m m c'
_space_group_IT_number 194
_space_group_name_Hall '-P 6c 2c'
loop_
_atom_site_label
_atom_site_type_symbol
_atom_site_fract_x
_atom_site_fract_y
_atom_site_fract_z
_atom_site_occupancy
Hf1 Hf 0.0000 0.0000 0.1531 1
Hf2 Hf 0.3333 0.6667 0.0543 1
B1 B 0.0000 0.0000 0.0000 1
B2 B 0.3333 0.6667 0.6077 1
Pb1 Pb 0.3333 0.6667 0.2500 1
```

Properties
final energy	-8.4090	eV per atom


# 6
The following is a PBE calculation of Hf3B2Pb after structural relaxation, from the Open Quantum Materials Database.

```
data_Hf3B2Pb
_chemical_formula_sum 'Hf6 B4 Pb2'
_cell_length_a 3.4420
_cell_length_b 3.4420
_cell_length_c 20.6894
_cell_angle_alpha 90.00
_cell_angle_beta 90.00
_cell_angle_gamma 120.00
_space_group_name_H-M_alt 'P 63/m m c'
_space_group_IT_number 194
_space_group_name_Hall '-P 6c 2c'
loop_
_atom_site_label
_atom_site_type_symbol
_atom_site_fract_x
_atom_site_fract_y
_atom_site_fract_z
_atom_site_occupancy
Hf1 Hf 0.0000 0.0000 0.0000 1
Hf2 Hf 0.3333 0.6667 0.1279 1
B1 B 0.3333 0.6667 0.5699 1
Pb1 Pb 0.0000 0.0000 0.2500 1
```

Properties
final energy	-8.2804	eV per atom


# 7
The following is a PBE calculation of HfBPb after structural relaxation, from the Open Quantum Materials Database.

```
data_HfBPb
_chemical_formula_sum 'Hf4 B4 Pb4'
_cell_length_a 6.428
_cell_length_b 6.428
_cell_length_c 6.428
_cell_angle_alpha 90.00
_cell_angle_beta 90.00
_cell_angle_gamma 90.00
_space_group_name_H-M_alt 'F -4 3 m'
_space_group_IT_number 216
_space_group_name_Hall 'F -4 2 3'
loop_
_atom_site_label
_atom_site_type_symbol
_atom_site_fract_x
_atom_site_fract_y
_atom_site_fract_z
_atom_site_occupancy
Hf1 Hf 0.000 0.000 0.000 1
B1 B 0.250 0.250 0.750 1
Pb1 Pb 0.250 0.250 0.250 1
```

Properties
energy above the most stable polymorph in this dataset	1.29	eV/f.u.


# 8
The following is a PBE calculation of HfB4Pb after structural relaxation, from the Open Quantum Materials Database.

```
data_HfB4Pb
_chemical_formula_sum 'Hf1 B4 Pb1'
_cell_length_a 3.1828
_cell_length_b 3.1828
_cell_length_c 8.0835
_cell_angle_alpha 90.00
_cell_angle_beta 90.00
_cell_angle_gamma 120.00
_space_group_name_H-M_alt 'P 6/m m m'
_space_group_IT_number 191
_space_group_name_Hall '-P 6 2'
loop_
_atom_site_label
_atom_site_type_symbol
_atom_site_fract_x
_atom_site_fract_y
_atom_site_fract_z
_atom_site_occupancy
Hf1 Hf 0.0000 0.0000 0.0000 1
B1 B 0.3333 0.6667 0.2081 1
Pb1 Pb 0.0000 0.0000 0.5000 1
```

Properties
energy above the most stable polymorph in this dataset	0.00	eV/f.u.


# 9
The following is a PBE calculation of Hf4SnB2Pb after structural relaxation, from the Open Quantum Materials Database.

```
data_Hf4SnB2Pb
_chemical_formula_sum 'Hf4 Sn1 B2 Pb1'
_cell_length_a 3.4535
_cell_length_b 3.4535
_cell_length_c 14.8034
_cell_angle_alpha 90.00
_cell_angle_beta 90.00
_cell_angle_gamma 120.00
_space_group_name_H-M_alt 'P -6 m 2'
_space_group_IT_number 187
_space_group_name_Hall 'P -6 2'
loop_
_atom_site_label
_atom_site_type_symbol
_atom_site_fract_x
_atom_site_fract_y
_atom_site_fract_z
_atom_site_occupancy
Hf1 Hf 0.0000 0.0000 0.1627 1
Hf2 Hf 0.3333 0.6667 0.3312 1
Sn1 Sn 0.3333 0.6667 0.0000 1
B1 B 0.6667 0.3333 0.2478 1
Pb1 Pb 0.0000 0.0000 0.5000 1
```

Properties
final energy	-8.1477	eV per atom


# 10
The following is a PBE calculation of HfBPd after structural relaxation, from the Open Quantum Materials Database.

```
data_HfBPd
_chemical_formula_sum 'Hf4 B4 Pd4'
_cell_length_a 5.935
_cell_length_b 5.935
_cell_length_c 5.935
_cell_angle_alpha 90.00
_cell_angle_beta 90.00
_cell_angle_gamma 90.00
_space_group_name_H-M_alt 'F -4 3 m'
_space_group_IT_number 216
_space_group_name_Hall 'F -4 2 3'
loop_
_atom_site_label
_atom_site_type_symbol
_atom_site_fract_x
_atom_site_fract_y
_atom_site_fract_z
_atom_site_occupancy
Hf1 Hf 0.000 0.000 0.000 1
B1 B 0.250 0.250 0.750 1
Pd1 Pd 0.250 0.250 0.250 1
```

Properties
final energy	-6.7938	eV per atom


# 11
The following is a PBE calculation of HfBPd2 after structural relaxation, from the Open Quantum Materials Database.

```
data_HfBPd2
_chemical_formula_sum 'Hf4 B4 Pd8'
_cell_length_a 6.165
_cell_length_b 6.165
_cell_length_c 6.165
_cell_angle_alpha 90.00
_cell_angle_beta 90.00
_cell_angle_gamma 90.00
_space_group_name_H-M_alt 'F -4 3 m'
_space_group_IT_number 216
_space_group_name_Hall 'F -4 2 3'
loop_
_atom_site_label
_atom_site_type_symbol
_atom_site_fract_x
_atom_site_fract_y
_atom_site_fract_z
_atom_site_occupancy
Hf1 Hf 0.000 0.000 0.000 1
B1 B 0.250 0.250 0.750 1
Pd1 Pd 0.000 0.000 0.500 1
Pd2 Pd 0.250 0.250 0.250 1
```

Properties
final energy	-6.8059	eV per atom


# 12
The following is a PBE calculation of HfB2Pd after structural relaxation, from the Open Quantum Materials Database.

```
data_HfB2Pd
_chemical_formula_sum 'Hf4 B8 Pd4'
_cell_length_a 5.917
_cell_length_b 5.917
_cell_length_c 5.917
_cell_angle_alpha 90.00
_cell_angle_beta 90.00
_cell_angle_gamma 90.00
_space_group_name_H-M_alt 'F -4 3 m'
_space_group_IT_number 216
_space_group_name_Hall 'F -4 2 3'
loop_
_atom_site_label
_atom_site_type_symbol
_atom_site_fract_x
_atom_site_fract_y
_atom_site_fract_z
_atom_site_occupancy
Hf1 Hf 0.000 0.000 0.000 1
B1 B 0.000 0.000 0.500 1
B2 B 0.250 0.250 0.250 1
Pd1 Pd 0.250 0.250 0.750 1
```

Properties
final energy	-6.4901	eV per atom


# 13
The following is a PBE calculation of HfBPd after structural relaxation, from the Open Quantum Materials Database.

```
data_HfBPd
_chemical_formula_sum 'Hf4 B4 Pd4'
_cell_length_a 5.833
_cell_length_b 5.833
_cell_length_c 5.833
_cell_angle_alpha 90.00
_cell_angle_beta 90.00
_cell_angle_gamma 90.00
_space_group_name_H-M_alt 'F -4 3 m'
_space_group_IT_number 216
_space_group_name_Hall 'F -4 2 3'
loop_
_atom_site_label
_atom_site_type_symbol
_atom_site_fract_x
_atom_site_fract_y
_atom_site_fract_z
_atom_site_occupancy
Hf1 Hf 0.000 0.000 0.000 1
B1 B 0.000 0.000 0.500 1
Pd1 Pd 0.250 0.250 0.750 1
```

Properties
final energy	-7.0763	eV per atom